(1)
First-principles (PBE-GGA) data for a relaxed Ac3TmTl6 crystal, as listed in the Alexandria database.

Values from the calculation:
ΔH_f (0 K) ... -0.285 eV per atom
Energy relative to the lowest polymorph listed for this composition ... 0.00 kJ per mole of atoms
DOS(E_F) ... 58.25 states/eV per cell

Cell: 13.3185 13.3185 13.0110 Å, 90.00 90.00 120.00°
Space group R-3c (No. 167, hexagonal axes)
Unique sites:
1 Ac 0.0000 0.4351 0.2500 (multiplicity 18)
2 Tm 0.0000 0.0000 0.0000 (multiplicity 6)
3 Tl 0.0690 0.2053 0.3462 (multiplicity 36)

---

(2)
First-principles (PBE-GGA) data for a relaxed Th2Fe2Ge3 crystal, as listed in the Alexandria database.

Values from the calculation:
ΔH_f (0 K) ... -0.482 eV per atom
DOS(E_F) ... 25.47 states/eV per cell

Cell: 4.3838 18.3857 6.7914 Å, 90.00 90.00 90.00°
Space group Cmcm (No. 63)
Unique sites:
1 Th 0.0000 0.0529 0.2500 (multiplicity 4)
2 Th 0.0000 0.1622 0.7500 (multiplicity 4)
3 Fe 0.0000 0.3089 0.5722 (multiplicity 8)
4 Ge 0.0000 0.2204 0.2500 (multiplicity 4)
5 Ge 0.0000 0.4346 0.0614 (multiplicity 8)

---

(3)
First-principles (PBE-GGA) data for a relaxed PuZrNb4 crystal, as listed in the Alexandria database.

Values from the calculation:
ΔH_f (0 K) ... 0.216 eV per atom
DOS(E_F) ... 51.87 states/eV per cell

Cell: 7.9256 7.9256 7.9256 Å, 90.00 90.00 90.00°
Space group F-43m (No. 216)
Unique sites:
1 Pu 0.0000 0.0000 0.0000 (multiplicity 4)
2 Zr 0.2500 0.2500 0.7500 (multiplicity 4)
3 Nb 0.1251 0.1251 0.3749 (multiplicity 16)

---

(4)
First-principles (PBE-GGA) data for a relaxed ZnSeF crystal, as listed in the Alexandria database.

Values from the calculation:
Formation energy without anion corrections ... -1.28 eV per atom
Energy relative to the lowest polymorph listed for this composition ... 4.18 kJ per mole of atoms

Cell: 6.5247 7.8964 10.6701 Å, 90.00 90.00 90.00°
Space group Fmm2 (No. 42)
Unique sites:
1 Zn 0.2500 0.2500 0.0000 (multiplicity 8)
2 Se 0.1850 0.0000 0.1340 (multiplicity 8)
3 F 0.0000 0.2213 0.3993 (multiplicity 8)

---

(5)
First-principles (PBE-GGA) data for a relaxed ScZnTe2 crystal, as listed in the Alexandria database.

Values from the calculation:
Formation energy without anion corrections ... -0.57 eV per atom
DOS(E_F) ... 15.53 states/eV per cell

Cell: 6.5237 6.5237 12.4229 Å, 90.00 90.00 90.00°
Space group I-42d (No. 122)
Unique sites:
1 Sc 0.0000 0.0000 0.0000 (multiplicity 4)
2 Zn 0.0000 0.0000 0.5000 (multiplicity 4)
3 Te 0.2328 0.2500 0.6250 (multiplicity 8)

---

(6)
First-principles (PBE-GGA) data for a relaxed GaGePt crystal, as listed in the Alexandria database.

Values from the calculation:
ΔH_f (0 K) ... -0.489 eV per atom
Energy relative to the lowest polymorph listed for this composition ... 0.00 kJ per mole of atoms
DOS(E_F) ... 6.87 states/eV per cell

Cell: 6.0406 6.0406 6.0406 Å, 90.00 90.00 90.00°
Space group F-43m (No. 216)
Unique sites:
1 Ga 0.0000 0.0000 0.0000 (multiplicity 4)
2 Ge 0.0000 0.0000 0.5000 (multiplicity 4)
3 Pt 0.2500 0.2500 0.7500 (multiplicity 4)

---

(7)
First-principles (PBE-GGA) data for a relaxed ReNi2As crystal, as listed in the Alexandria database.

Values from the calculation:
ΔH_f (0 K) ... 0.283 eV per atom
DOS(E_F) ... 8.59 states/eV per cell

Cell: 3.6825 3.6825 7.6570 Å, 90.00 90.00 90.00°
Space group I4/mmm (No. 139)
Unique sites:
1 Re 0.0000 0.0000 0.0000 (multiplicity 2)
2 Ni 0.0000 0.5000 0.2500 (multiplicity 4)
3 As 0.0000 0.0000 0.5000 (multiplicity 2)

---

(8)
First-principles (PBE-GGA) data for a relaxed NdSm2Dy5Tm crystal, as listed in the Alexandria database.

Values from the calculation:
ΔH_f (0 K) ... 0.278 eV per atom
DOS(E_F) ... 42.88 states/eV per cell

Cell: 8.7677 8.7677 15.2885 Å, 90.00 90.00 90.00°
Space group I4/mcm (No. 140)
Unique sites:
1 Nd 0.0000 0.0000 0.2500 (multiplicity 4)
2 Sm 0.1158 0.3842 0.0000 (multiplicity 8)
3 Dy 0.0000 0.0000 0.0000 (multiplicity 4)
4 Dy 0.2088 0.2912 0.3634 (multiplicity 16)
5 Tm 0.0000 0.5000 0.2500 (multiplicity 4)

---

(9)
First-principles (PBE-GGA) data for a relaxed KCu2Ni crystal, as listed in the Alexandria database.

Values from the calculation:
ΔH_f (0 K) ... 0.745 eV per atom
Energy relative to the lowest polymorph listed for this composition ... 33.68 kJ per mole of atoms
DOS(E_F) ... 2.85 states/eV per cell

Cell: 4.8714 4.8714 2.7480 Å, 90.00 90.00 90.00°
Space group P4/mmm (No. 123)
Unique sites:
1 K 0.0000 0.0000 0.0000 (multiplicity 1)
2 Cu 0.0000 0.5000 0.5000 (multiplicity 2)
3 Ni 0.5000 0.5000 0.0000 (multiplicity 1)

---

(10)
First-principles (PBE-GGA) data for a relaxed Mn3H crystal, as listed in the Alexandria database.

Values from the calculation:
Energy relative to the lowest polymorph listed for this composition ... 6.29 kJ per mole of atoms
DOS(E_F) ... 3.53 states/eV per cell

Cell: 2.5642 2.5837 5.9752 Å, 90.00 90.00 90.00°
Space group Pmm2 (No. 25)
Unique sites:
1 Mn 0.0000 0.0000 0.0000 (multiplicity 1)
2 Mn 0.0000 0.5000 0.3452 (multiplicity 1)
3 Mn 0.5000 0.5000 0.7162 (multiplicity 1)
4 H 0.5000 0.0000 0.4815 (multiplicity 1)

---

(11)
First-principles (PBE-GGA) data for a relaxed Na2AlIrN crystal, as listed in the Alexandria database.

Values from the calculation:
Formation energy without anion corrections ... 1.22 eV per atom
DOS(E_F) ... 2.30 states/eV per cell

Cell: 5.5278 5.5278 4.6558 Å, 90.00 90.00 90.00°
Space group P4/mmm (No. 123)
Unique sites:
1 Na 0.0000 0.5000 0.0000 (multiplicity 2)
2 Al 0.0000 0.0000 0.5000 (multiplicity 1)
3 Ir 0.0000 0.0000 0.0000 (multiplicity 1)
4 N 0.5000 0.5000 0.5000 (multiplicity 1)

---

no.,total magnetic moment (μB/f.u.),VASP energy (eV per atom)
1,0.000,-3.385
2,3.898,-6.998
3,5.225,-10.310
4,0.000,-3.488
5,0.780,-4.038
6,0.000,-5.050
7,0.000,-6.882
8,0.000,-4.354
9,0.000,-3.023
10,2.132,-7.445
11,2.303,-3.494